[1]
Entry from Alexandria via LeMat-Bulk: a relaxed structure of Zn2BI (PBEsol).

N(E_F): 1.66 states/eV/f.u.
V: 20.954 A^3/atom
M_tot: 0.00 μB per formula unit
Formation energy (no corrections): 0.52 eV/atom

Cell and atoms, written as CIF:
```
data_Zn2BI
_chemical_formula_sum 'Zn4 B2 I2'
_cell_length_a 5.8115
_cell_length_b 6.4439
_cell_length_c 5.8115
_cell_angle_alpha 63.20
_cell_angle_beta 90.00
_cell_angle_gamma 116.80
_symmetry_space_group_name_H-M 'P 1'
_symmetry_Int_Tables_number 1
loop_
_symmetry_equiv_pos_as_xyz
'x,y,z'
loop_
_atom_site_label
_atom_site_fract_x
_atom_site_fract_y
_atom_site_fract_z
I1 0.7500 0.5000 0.7500
I2 0.0000 0.0000 0.0000
Zn1 0.5148 0.7500 0.3750
Zn2 0.2352 0.7500 0.8750
Zn3 0.8750 0.2500 0.5148
Zn4 0.3750 0.2500 0.2352
B1 0.2500 0.5000 0.2500
B2 0.5000 0.0000 0.5000
```

[2]
Entry from Alexandria via LeMat-Bulk: a relaxed structure of Ni3SnI (PBEsol).

N(E_F): 2.63 states/eV/f.u.
V: 19.635 A^3/atom
M_tot: 0.00 μB per formula unit
Formation energy (no corrections): 0.88 eV/atom

Cell and atoms, written as CIF:
```
data_Ni3SnI
_chemical_formula_sum 'Ni3 Sn1 I1'
_cell_length_a 4.6132
_cell_length_b 4.6132
_cell_length_c 4.6132
_cell_angle_alpha 90.00
_cell_angle_beta 90.00
_cell_angle_gamma 90.00
_symmetry_space_group_name_H-M 'P 1'
_symmetry_Int_Tables_number 1
loop_
_symmetry_equiv_pos_as_xyz
'x,y,z'
loop_
_atom_site_label
_atom_site_fract_x
_atom_site_fract_y
_atom_site_fract_z
I1 0.0000 0.0000 0.0000
Ni1 0.0000 0.5000 0.0000
Ni2 0.0000 0.0000 0.5000
Ni3 0.5000 0.0000 0.0000
Sn1 0.5000 0.5000 0.5000
```

[3]
Entry from Alexandria via LeMat-Bulk: a relaxed structure of Sc3CdIn (PBEsol).

N(E_F): 8.35 states/eV/f.u.
V: 27.751 A^3/atom
M_tot: 0.00 μB per formula unit
Formation energy: 0.366 eV per atom

Cell and atoms, written as CIF:
```
data_Sc3CdIn
_chemical_formula_sum 'Sc3 Cd1 In1'
_cell_length_a 5.1770
_cell_length_b 5.1770
_cell_length_c 5.1770
_cell_angle_alpha 90.00
_cell_angle_beta 90.00
_cell_angle_gamma 90.00
_symmetry_space_group_name_H-M 'P 1'
_symmetry_Int_Tables_number 1
loop_
_symmetry_equiv_pos_as_xyz
'x,y,z'
loop_
_atom_site_label
_atom_site_fract_x
_atom_site_fract_y
_atom_site_fract_z
Sc1 0.0000 0.5000 0.0000
Sc2 0.0000 0.0000 0.5000
Sc3 0.5000 0.0000 0.0000
Cd1 0.0000 0.0000 0.0000
In1 0.5000 0.5000 0.5000
```

[4]
Entry from Alexandria via LeMat-Bulk: a relaxed structure of SrCaIn2 (PBEsol).

N(E_F): 2.04 states/eV/f.u.
V: 29.459 A^3/atom
M_tot: 0.00 μB per formula unit
Formation energy: -0.476 eV per atom
Relative energy among the computed polymorphs: 14 meV/atom

Cell and atoms, written as CIF:
```
data_SrCaIn2
_chemical_formula_sum 'Sr1 Ca1 In2'
_cell_length_a 5.5030
_cell_length_b 5.5030
_cell_length_c 5.5030
_cell_angle_alpha 60.00
_cell_angle_beta 60.00
_cell_angle_gamma 60.00
_symmetry_space_group_name_H-M 'P 1'
_symmetry_Int_Tables_number 1
loop_
_symmetry_equiv_pos_as_xyz
'x,y,z'
loop_
_atom_site_label
_atom_site_fract_x
_atom_site_fract_y
_atom_site_fract_z
Sr1 0.0000 0.0000 0.0000
Ca1 0.5000 0.5000 0.5000
In1 0.7500 0.7500 0.7500
In2 0.2500 0.2500 0.2500
```

[5]
Entry from Alexandria via LeMat-Bulk: a relaxed structure of Ag2PCl (PBEsol).

N(E_F): 2.55 states/eV/f.u.
V: 17.115 A^3/atom
M_tot: 0.00 μB per formula unit
Relative energy among the computed polymorphs: 215 meV/atom
Formation energy (no corrections): 0.24 eV/atom

Cell and atoms, written as CIF:
```
data_Ag2PCl
_chemical_formula_sum 'Ag2 P1 Cl1'
_cell_length_a 2.9375
_cell_length_b 4.8276
_cell_length_c 4.8276
_cell_angle_alpha 90.00
_cell_angle_beta 90.00
_cell_angle_gamma 90.00
_symmetry_space_group_name_H-M 'P 1'
_symmetry_Int_Tables_number 1
loop_
_symmetry_equiv_pos_as_xyz
'x,y,z'
loop_
_atom_site_label
_atom_site_fract_x
_atom_site_fract_y
_atom_site_fract_z
Ag1 0.0000 0.0000 0.5000
Ag2 0.0000 0.5000 0.0000
Cl1 0.5000 0.5000 0.5000
P1 0.5000 0.0000 0.0000
```

[6]
Entry from Alexandria via LeMat-Bulk: a relaxed structure of ZnFeRe (PBEsol).

N(E_F): 2.46 states/eV/f.u.
V: 12.448 A^3/atom
M_tot: 0.01 μB per formula unit
Formation energy: 0.207 eV per atom
Relative energy among the computed polymorphs: 134 meV/atom

Cell and atoms, written as CIF:
```
data_ZnFeRe
_chemical_formula_sum 'Zn1 Fe1 Re1'
_cell_length_a 2.5973
_cell_length_b 4.0745
_cell_length_c 4.0745
_cell_angle_alpha 120.00
_cell_angle_beta 90.00
_cell_angle_gamma 90.00
_symmetry_space_group_name_H-M 'P 1'
_symmetry_Int_Tables_number 1
loop_
_symmetry_equiv_pos_as_xyz
'x,y,z'
loop_
_atom_site_label
_atom_site_fract_x
_atom_site_fract_y
_atom_site_fract_z
Fe1 0.0615 0.0000 0.0000
Re1 0.6995 0.3333 0.6667
Zn1 0.2390 0.6667 0.3333
```

[7]
Entry from Alexandria via LeMat-Bulk: a relaxed structure of AlAs2P (PBEsol).

N(E_F): 2.00 states/eV/f.u.
V: 17.662 A^3/atom
M_tot: 0.00 μB per formula unit
Formation energy: 0.148 eV per atom

Cell and atoms, written as CIF:
```
data_AlAs2P
_chemical_formula_sum 'Al1 As2 P1'
_cell_length_a 3.5807
_cell_length_b 3.7192
_cell_length_c 5.8995
_cell_angle_alpha 108.37
_cell_angle_beta 107.67
_cell_angle_gamma 90.00
_symmetry_space_group_name_H-M 'P 1'
_symmetry_Int_Tables_number 1
loop_
_symmetry_equiv_pos_as_xyz
'x,y,z'
loop_
_atom_site_label
_atom_site_fract_x
_atom_site_fract_y
_atom_site_fract_z
P1 0.5000 0.0000 0.0000
As1 0.3096 0.3096 0.6192
As2 0.6904 0.6904 0.3808
Al1 0.0000 0.5000 0.0000
```

[8]
Entry from Alexandria via LeMat-Bulk: a relaxed structure of Mg2TaSe (PBEsol).

N(E_F): 2.95 states/eV/f.u.
V: 17.994 A^3/atom
M_tot: 0.00 μB per formula unit
Formation energy (no corrections): 0.15 eV/atom

Cell and atoms, written as CIF:
```
data_Mg2TaSe
_chemical_formula_sum 'Mg2 Ta1 Se1'
_cell_length_a 3.8397
_cell_length_b 3.8397
_cell_length_c 5.5860
_cell_angle_alpha 110.10
_cell_angle_beta 110.10
_cell_angle_gamma 90.00
_symmetry_space_group_name_H-M 'P 1'
_symmetry_Int_Tables_number 1
loop_
_symmetry_equiv_pos_as_xyz
'x,y,z'
loop_
_atom_site_label
_atom_site_fract_x
_atom_site_fract_y
_atom_site_fract_z
Mg1 0.7500 0.2500 0.5000
Mg2 0.2500 0.7500 0.5000
Se1 0.5000 0.5000 0.0000
Ta1 0.0000 0.0000 0.0000
```

[9]
Entry from Alexandria via LeMat-Bulk: a relaxed structure of BaSc4W (PBEsol).

N(E_F): 11.71 states/eV/f.u.
V: 23.469 A^3/atom
M_tot: 0.00 μB per formula unit
Formation energy: 0.872 eV per atom

Cell and atoms, written as CIF:
```
data_BaSc4W
_chemical_formula_sum 'Ba1 Sc4 W1'
_cell_length_a 5.8397
_cell_length_b 5.8397
_cell_length_c 5.8397
_cell_angle_alpha 60.00
_cell_angle_beta 60.00
_cell_angle_gamma 60.00
_symmetry_space_group_name_H-M 'P 1'
_symmetry_Int_Tables_number 1
loop_
_symmetry_equiv_pos_as_xyz
'x,y,z'
loop_
_atom_site_label
_atom_site_fract_x
_atom_site_fract_y
_atom_site_fract_z
Ba1 0.0000 0.0000 0.0000
Sc1 0.3788 0.3788 0.3788
Sc2 0.3788 0.3788 0.8637
Sc3 0.8637 0.3788 0.3788
Sc4 0.3788 0.8637 0.3788
W1 0.7500 0.7500 0.7500
```

[10]
Entry from Alexandria via LeMat-Bulk: a relaxed structure of Cu3OF5 (PBEsol).

N(E_F): 6.02 states/eV/f.u.
V: 10.631 A^3/atom
M_tot: 0.59 μB per formula unit
Relative energy among the computed polymorphs: 3 meV/atom
Formation energy (no corrections): -1.27 eV/atom

Cell and atoms, written as CIF:
```
data_Cu3OF5
_chemical_formula_sum 'Cu6 O2 F10'
_cell_length_a 4.5707
_cell_length_b 5.5403
_cell_length_c 7.5599
_cell_angle_alpha 88.31
_cell_angle_beta 90.00
_cell_angle_gamma 90.00
_symmetry_space_group_name_H-M 'P 1'
_symmetry_Int_Tables_number 1
loop_
_symmetry_equiv_pos_as_xyz
'x,y,z'
loop_
_atom_site_label
_atom_site_fract_x
_atom_site_fract_y
_atom_site_fract_z
Cu1 0.5096 0.4215 0.3257
Cu2 0.9707 0.9013 0.3309
Cu3 0.4707 0.0987 0.6691
Cu4 0.0186 0.2421 0.9842
Cu5 0.0096 0.5785 0.6743
Cu6 0.5186 0.7579 0.0158
O1 0.1877 0.2990 0.7661
O2 0.6877 0.7010 0.2339
F1 0.6998 0.3829 0.5602
F2 0.2933 0.1234 0.4244
F3 0.7933 0.8766 0.5756
F4 0.1998 0.6171 0.4398
F5 0.7019 0.0829 0.8893
F6 0.3116 0.7936 0.7868
F7 0.8116 0.2064 0.2132
F8 0.2019 0.9171 0.1107
F9 0.8068 0.5896 0.9024
F10 0.3068 0.4104 0.0976
```

[11]
Entry from Alexandria via LeMat-Bulk: a relaxed structure of P2PbWO (PBEsol).

N(E_F): 1.92 states/eV/f.u.
V: 18.044 A^3/atom
M_tot: 0.00 μB per formula unit
Formation energy (no corrections): -0.39 eV/atom

Cell and atoms, written as CIF:
```
data_P2PbWO
_chemical_formula_sum 'P2 Pb1 W1 O1'
_cell_length_a 3.7965
_cell_length_b 4.8749
_cell_length_c 4.8749
_cell_angle_alpha 90.00
_cell_angle_beta 90.00
_cell_angle_gamma 90.00
_symmetry_space_group_name_H-M 'P 1'
_symmetry_Int_Tables_number 1
loop_
_symmetry_equiv_pos_as_xyz
'x,y,z'
loop_
_atom_site_label
_atom_site_fract_x
_atom_site_fract_y
_atom_site_fract_z
Pb1 0.5000 0.5000 0.5000
P1 0.0000 0.0000 0.5000
P2 0.0000 0.5000 0.0000
O1 0.5000 0.0000 0.0000
W1 0.0000 0.0000 0.0000
```

[12]
Entry from Alexandria via LeMat-Bulk: a relaxed structure of HfMgZrTe2 (PBEsol).

N(E_F): 6.40 states/eV/f.u.
V: 30.254 A^3/atom
M_tot: 2.07 μB per formula unit
Formation energy (no corrections): 0.59 eV/atom

Cell and atoms, written as CIF:
```
data_HfMgZrTe2
_chemical_formula_sum 'Hf1 Mg1 Zr1 Te2'
_cell_length_a 5.2356
_cell_length_b 5.3752
_cell_length_c 5.3752
_cell_angle_alpha 90.00
_cell_angle_beta 90.00
_cell_angle_gamma 90.00
_symmetry_space_group_name_H-M 'P 1'
_symmetry_Int_Tables_number 1
loop_
_symmetry_equiv_pos_as_xyz
'x,y,z'
loop_
_atom_site_label
_atom_site_fract_x
_atom_site_fract_y
_atom_site_fract_z
Mg1 0.5000 0.0000 0.0000
Te1 0.0000 0.0000 0.5000
Te2 0.0000 0.5000 0.0000
Hf1 0.0000 0.0000 0.0000
Zr1 0.5000 0.5000 0.5000
```

[13]
Entry from Alexandria via LeMat-Bulk: a relaxed structure of TaReAg2 (PBEsol).

N(E_F): 2.06 states/eV/f.u.
V: 15.953 A^3/atom
M_tot: 0.00 μB per formula unit
Formation energy: 0.366 eV per atom
Relative energy among the computed polymorphs: 88 meV/atom

Cell and atoms, written as CIF:
```
data_TaReAg2
_chemical_formula_sum 'Ta1 Re1 Ag2'
_cell_length_a 3.7772
_cell_length_b 3.7772
_cell_length_c 5.2095
_cell_angle_alpha 111.26
_cell_angle_beta 111.26
_cell_angle_gamma 90.00
_symmetry_space_group_name_H-M 'P 1'
_symmetry_Int_Tables_number 1
loop_
_symmetry_equiv_pos_as_xyz
'x,y,z'
loop_
_atom_site_label
_atom_site_fract_x
_atom_site_fract_y
_atom_site_fract_z
Re1 0.5000 0.5000 0.0000
Ag1 0.7500 0.2500 0.5000
Ag2 0.2500 0.7500 0.5000
Ta1 0.0000 0.0000 0.0000
```

[14]
Entry from Alexandria via LeMat-Bulk: a relaxed structure of Sc2ReW (PBEsol).

N(E_F): 6.82 states/eV/f.u.
V: 17.012 A^3/atom
M_tot: 0.00 μB per formula unit
Formation energy: 0.420 eV per atom
Relative energy among the computed polymorphs: 465 meV/atom

Cell and atoms, written as CIF:
```
data_Sc2ReW
_chemical_formula_sum 'Sc2 Re1 W1'
_cell_length_a 4.5826
_cell_length_b 4.5826
_cell_length_c 4.5826
_cell_angle_alpha 60.00
_cell_angle_beta 60.00
_cell_angle_gamma 60.00
_symmetry_space_group_name_H-M 'P 1'
_symmetry_Int_Tables_number 1
loop_
_symmetry_equiv_pos_as_xyz
'x,y,z'
loop_
_atom_site_label
_atom_site_fract_x
_atom_site_fract_y
_atom_site_fract_z
Re1 0.0000 0.0000 0.0000
Sc1 0.2500 0.2500 0.2500
Sc2 0.7500 0.7500 0.7500
W1 0.5000 0.5000 0.5000
```

[15]
Entry from Alexandria via LeMat-Bulk: a relaxed structure of InCuRh2 (PBEsol).

N(E_F): 4.71 states/eV/f.u.
V: 14.801 A^3/atom
M_tot: 0.00 μB per formula unit
Formation energy: 0.177 eV per atom

Cell and atoms, written as CIF:
```
data_InCuRh2
_chemical_formula_sum 'In1 Cu1 Rh2'
_cell_length_a 2.8202
_cell_length_b 2.8202
_cell_length_c 8.7480
_cell_angle_alpha 80.72
_cell_angle_beta 80.72
_cell_angle_gamma 60.00
_symmetry_space_group_name_H-M 'P 1'
_symmetry_Int_Tables_number 1
loop_
_symmetry_equiv_pos_as_xyz
'x,y,z'
loop_
_atom_site_label
_atom_site_fract_x
_atom_site_fract_y
_atom_site_fract_z
Cu1 0.4964 0.4964 0.5109
In1 0.2492 0.2492 0.2525
Rh1 0.0038 0.0038 0.9885
Rh2 0.7506 0.7506 0.7481
```

[16]
Entry from Alexandria via LeMat-Bulk: a relaxed structure of LaCoTe2I (PBEsol).

N(E_F): 4.23 states/eV/f.u.
V: 26.096 A^3/atom
M_tot: 0.00 μB per formula unit
Formation energy (no corrections): -0.51 eV/atom

Cell and atoms, written as CIF:
```
data_LaCoTe2I
_chemical_formula_sum 'La1 Co1 Te2 I1'
_cell_length_a 5.0766
_cell_length_b 5.0698
_cell_length_c 5.0698
_cell_angle_alpha 90.00
_cell_angle_beta 90.00
_cell_angle_gamma 90.00
_symmetry_space_group_name_H-M 'P 1'
_symmetry_Int_Tables_number 1
loop_
_symmetry_equiv_pos_as_xyz
'x,y,z'
loop_
_atom_site_label
_atom_site_fract_x
_atom_site_fract_y
_atom_site_fract_z
I1 0.5000 0.0000 0.0000
Te1 0.0000 0.0000 0.5000
Te2 0.0000 0.5000 0.0000
Co1 0.0000 0.0000 0.0000
La1 0.5000 0.5000 0.5000
```

[17]
Entry from Alexandria via LeMat-Bulk: a relaxed structure of ZrBP2Pd (PBEsol).

N(E_F): 5.24 states/eV/f.u.
V: 23.707 A^3/atom
M_tot: 0.00 μB per formula unit
Formation energy: 1.530 eV per atom

Cell and atoms, written as CIF:
```
data_ZrBP2Pd
_chemical_formula_sum 'Zr1 B1 P2 Pd1'
_cell_length_a 4.8984
_cell_length_b 4.8984
_cell_length_c 4.9400
_cell_angle_alpha 90.00
_cell_angle_beta 90.00
_cell_angle_gamma 90.00
_symmetry_space_group_name_H-M 'P 1'
_symmetry_Int_Tables_number 1
loop_
_symmetry_equiv_pos_as_xyz
'x,y,z'
loop_
_atom_site_label
_atom_site_fract_x
_atom_site_fract_y
_atom_site_fract_z
P1 0.0000 0.5000 0.0000
P2 0.5000 0.0000 0.0000
B1 0.5000 0.5000 0.5000
Zr1 0.0000 0.0000 0.0000
Pd1 0.0000 0.0000 0.5000
```

[18]
Entry from Alexandria via LeMat-Bulk: a relaxed structure of Mg2TlCd (PBEsol).

N(E_F): 1.67 states/eV/f.u.
V: 23.097 A^3/atom
M_tot: 0.00 μB per formula unit
Formation energy: -0.019 eV per atom

Cell and atoms, written as CIF:
```
data_Mg2TlCd
_chemical_formula_sum 'Mg2 Tl1 Cd1'
_cell_length_a 3.2511
_cell_length_b 3.2511
_cell_length_c 8.7411
_cell_angle_alpha 90.00
_cell_angle_beta 90.00
_cell_angle_gamma 90.00
_symmetry_space_group_name_H-M 'P 1'
_symmetry_Int_Tables_number 1
loop_
_symmetry_equiv_pos_as_xyz
'x,y,z'
loop_
_atom_site_label
_atom_site_fract_x
_atom_site_fract_y
_atom_site_fract_z
Tl1 0.0000 0.0000 0.5005
Mg1 0.0000 0.0000 0.9917
Mg2 0.5000 0.5000 0.2412
Cd1 0.5000 0.5000 0.7667
```

[19]
Entry from Alexandria via LeMat-Bulk: a relaxed structure of AlZnAu2 (PBEsol).

N(E_F): 0.95 states/eV/f.u.
V: 15.506 A^3/atom
M_tot: 0.00 μB per formula unit
Formation energy: -0.271 eV per atom

Cell and atoms, written as CIF:
```
data_AlZnAu2
_chemical_formula_sum 'Al1 Zn1 Au2'
_cell_length_a 3.8860
_cell_length_b 3.8860
_cell_length_c 4.9417
_cell_angle_alpha 113.15
_cell_angle_beta 113.15
_cell_angle_gamma 90.00
_symmetry_space_group_name_H-M 'P 1'
_symmetry_Int_Tables_number 1
loop_
_symmetry_equiv_pos_as_xyz
'x,y,z'
loop_
_atom_site_label
_atom_site_fract_x
_atom_site_fract_y
_atom_site_fract_z
Zn1 0.0000 0.0000 0.0000
Au1 0.5000 0.5000 0.0000
Au2 0.2500 0.7500 0.5000
Al1 0.7500 0.2500 0.5000
```

[20]
Entry from Alexandria via LeMat-Bulk: a relaxed structure of La2TlAg (PBEsol).

N(E_F): 3.24 states/eV/f.u.
V: 26.667 A^3/atom
M_tot: 0.00 μB per formula unit
Formation energy: -0.271 eV per atom
Relative energy among the computed polymorphs: 68 meV/atom

Cell and atoms, written as CIF:
```
data_La2TlAg
_chemical_formula_sum 'La2 Tl1 Ag1'
_cell_length_a 4.5955
_cell_length_b 4.5955
_cell_length_c 6.0060
_cell_angle_alpha 112.49
_cell_angle_beta 112.49
_cell_angle_gamma 90.00
_symmetry_space_group_name_H-M 'P 1'
_symmetry_Int_Tables_number 1
loop_
_symmetry_equiv_pos_as_xyz
'x,y,z'
loop_
_atom_site_label
_atom_site_fract_x
_atom_site_fract_y
_atom_site_fract_z
Tl1 0.5000 0.5000 0.0000
Ag1 0.2500 0.7500 0.5000
La1 0.0000 0.0000 0.0000
La2 0.7500 0.2500 0.5000
```